HoGa2Pd3 (PBE-GGA, optimized geometry); space group = P6_3/mmc, No. 194; E_tot = -5.196 eV/atom; crystal system = hexagonal; V = 17.39 Å³ per atom
1.0
4.4140 0.0000 0.0000
-2.2070 3.8227 0.0000
0.0000 0.0000 12.3646
Ho Ga Pd
2 4 6
direct
0.0000 0.0000 0.2500
0.0000 0.0000 0.7500
0.3333 0.6667 0.0859
0.3333 0.6667 0.4141
0.6667 0.3333 0.5859
0.6667 0.3333 0.9141
0.0000 0.0000 0.0000
0.0000 0.0000 0.5000
0.3333 0.6667 0.6265
0.3333 0.6667 0.8735
0.6667 0.3333 0.1265
0.6667 0.3333 0.3735

LuCuMoAs (PBE-GGA, optimized geometry); space group = F-43m, No. 216; E_tot = -5.453 eV/atom; crystal system = cubic; V = 18.28 Å³ per atom
1.0
0.0000 3.3188 3.3188
3.3188 0.0000 3.3188
3.3188 3.3188 0.0000
Lu Cu Mo As
1 1 1 1
direct
0.0000 0.0000 0.0000
0.5000 0.5000 0.5000
0.7500 0.7500 0.7500
0.2500 0.2500 0.2500